A geometry-optimized Tb2NpTiN5 structure. Source: the Alexandria database, functional GGA-PBE.

a = 3.4284 Å, b = 7.1031 Å, c = 10.1992 Å
α = 90.00°, β = 90.00°, γ = 103.97°
Each line ends with the local moment (μB).
Fractional positions:
1 N 0.4943 0.9887 0.7824  -0.01
2 N 0.7194 0.4387 0.1505  -0.10
3 N 0.3091 0.6182 0.3792  -0.10
4 Tb 0.8945 0.7890 0.1921  0.02
5 N 0.2806 0.5613 0.6505  -0.10
6 N 0.6240 0.2480 0.5076  -0.05
7 Tb 0.8680 0.7360 0.7924  0.08
8 Np 0.7856 0.5712 0.5092  2.10
9 Ti 0.5163 0.0327 0.9660  0.06
10 N 0.6909 0.3818 0.8792  -0.10
11 N 0.9457 0.8914 0.5447  -0.04
12 Tb 0.1055 0.2110 0.6921  0.02
13 Np 0.2144 0.4288 0.0092  2.10
14 N 0.3760 0.7520 0.0076  -0.05
15 N 0.5057 0.0113 0.2824  -0.01
16 Tb 0.1320 0.2640 0.2924  0.08
17 Ti 0.4837 0.9673 0.4660  0.06
18 N 0.0543 0.1086 0.0447  -0.04

Values from the calculation:
The formation energy (no corrections) is -1378 meV/atom. Its crystal system is orthorhombic. Its space group is No. 36.

---

A geometry-optimized NaScI2O structure. Source: the Alexandria database, functional GGA-PBE.

a = 6.0227 Å, b = 6.0227 Å, c = 3.9320 Å
α = 90.00°, β = 90.00°, γ = 90.00°
Fractional positions:
1 Sc 0.0000 0.0000 0.0000
2 I 0.5000 0.0000 0.0000
3 Na 0.5000 0.5000 0.5000
4 I 0.0000 0.5000 0.0000
5 O 0.0000 0.0000 0.5000

Values from the calculation:
The formation energy (no corrections) is -1664 meV/atom. Its crystal system is tetragonal. Its space group is No. 123.

---

A geometry-optimized Tl2ZnTcRh structure. Source: the Alexandria database, functional GGA-PBE.

a = 5.1915 Å, b = 4.7865 Å, c = 5.1915 Å
α = 90.00°, β = 90.00°, γ = 90.00°
Each line ends with the local moment (μB).
Fractional positions:
1 Zn 0.0000 0.5000 0.0000  0.01
2 Tc 0.0000 0.0000 0.0000  0.82
3 Tl 0.0000 0.0000 0.5000  0.00
4 Tl 0.5000 0.0000 0.0000  -0.03
5 Rh 0.5000 0.5000 0.5000  0.96

Values from the calculation:
Its crystal system is tetragonal. The total energy comes out at -3.620 eV/atom. Its space group is No. 123.

---

A geometry-optimized CsC2Cl2 structure. Source: the Alexandria database, functional GGA-PBE.

a = 7.7570 Å, b = 7.7570 Å, c = 4.0693 Å
α = 90.00°, β = 90.00°, γ = 90.00°
Fractional positions:
1 C 0.9388 0.5612 0.0000
2 Cl 0.6315 0.1315 0.5000
3 Cl 0.8685 0.6315 0.5000
4 Cl 0.3685 0.8685 0.5000
5 Cs 0.0000 0.0000 0.0000
6 Cl 0.1315 0.3685 0.5000
7 Cs 0.5000 0.5000 0.0000
8 C 0.0612 0.4388 0.0000
9 C 0.4388 0.9388 0.0000
10 C 0.5612 0.0612 0.0000

Values from the calculation:
The formation energy (no corrections) is 517 meV/atom. Its crystal system is tetragonal. Its space group is No. 127.